A plane-wave DFT calculation with PBE was carried out for MgTl2 after structural relaxation.

```
MgTl2
1.0
5.012 0.000 0.000
2.506 4.340 0.000
2.506 1.447 4.092
Mg Tl
1 2
Direct
0.000 0.000 0.000 Mg
0.250 0.250 0.250 Tl
0.750 0.750 0.750 Tl
```

Summary:
Its density of states at the Fermi level is 1.70 states/eV per cell. The uncorrected energy is -6.05 eV for the cell shown. The space-group type is Fm-3m (225). The formation energy comes out at 0.09 eV/atom. The distance to the lowest polymorph of the same formula comes out at 0.331 eV/f.u.